[1]
A relaxed Gd2IrRh crystal. Source: the Alexandria database, functional PBE.

Properties
The polymorph energy (0 for the lowest one) is 0.2745 eV per atom.

Cell: 6.956 6.956 6.956 Å, 33.72 33.72 33.72°
Fractional coordinates of all 4 atoms:
Gd (0.249, 0.249, 0.249)
Gd (0.751, 0.751, 0.751)
Ir (0.500, 0.500, 0.500)
Rh (0.000, 0.000, 0.000)

***

[2]
A relaxed Gd2IrRh crystal. Source: the Alexandria database, functional PBE.

Properties
The polymorph energy (0 for the lowest one) is 0.0169 eV per atom.

Cell: 4.815 4.815 3.574 Å, 90.00 90.00 90.00°
Fractional coordinates of all 4 atoms:
Gd (0.000, 0.500, 0.000)
Gd (0.500, 0.000, 0.000)
Ir (0.000, 0.000, 0.500)
Rh (0.500, 0.500, 0.500)

***

[3]
A relaxed Gd2IrRh crystal. Source: the Alexandria database, functional PBE.

Properties
The polymorph energy (0 for the lowest one) is 0.0000 eV per atom.

Cell: 4.894 4.894 4.894 Å, 60.00 60.00 60.00°
Fractional coordinates of all 4 atoms:
Gd (0.250, 0.250, 0.250)
Gd (0.750, 0.750, 0.750)
Ir (0.000, 0.000, 0.000)
Rh (0.500, 0.500, 0.500)

***

[4]
A relaxed GdScIrRh crystal. Source: the Alexandria database, functional PBE.

Cell: 4.739 4.739 4.739 Å, 60.00 60.00 60.00°
Fractional coordinates of all 4 atoms:
Gd (0.000, 0.000, 0.000)
Sc (0.500, 0.500, 0.500)
Ir (0.250, 0.250, 0.250)
Rh (0.750, 0.750, 0.750)

***

We obtain total magnetization values of 14.0 14.0 13.9 7.0 Bohr magnetons per cell for the records listed above, in that order.
We obtain DFT formation energy values of -0.512 -0.770 -0.787 -0.853 eV per atom for the records listed above, in that order.